[1]
A plane-wave DFT calculation with PBE-GGA was carried out for an optimized crystal structure of Zr3SnMo.

```
5
Lattice="5.0399 0.0000 0.0000 0.0000 5.0399 0.0000 0.0000 0.0000 5.0399" Properties=species:S:1:pos:R:3 pbc="T T T"
Zr 0.0000 0.0000 2.5199
Zr 0.0000 2.5199 0.0000
Zr 2.5199 0.0000 0.0000
Sn 2.5199 2.5199 2.5199
Mo 0.0000 0.0000 0.0000
```

Computed properties:
Energy relative to the elements in eV per atom: 0.5082
SG: Pm-3m, No. 221
Density in g/cm3: 6.33
Energy above the most stable polymorph in this dataset in meV/atom: 0

=====

[2]
A plane-wave DFT calculation with PBE-GGA was carried out for an optimized crystal structure of Sm8YHo6.

```
15
Lattice="9.3970 0.0000 0.0000 -4.6985 8.1380 0.0000 0.0000 0.0000 6.5141" Properties=species:S:1:pos:R:3 pbc="T T T"
Sm -1.0206 2.3282 2.1827
Sm -2.1719 7.8577 2.1827
Sm 1.5060 2.0479 4.3314
Sm 0.0000 5.4253 2.4687
Sm 4.6985 2.7127 4.0454
Sm 3.1925 6.0901 2.1827
Sm 6.8704 0.2803 4.3314
Sm 5.7190 5.8098 4.3314
Y 0.0000 0.0000 0.0000
Ho -1.1851 3.5607 5.4761
Ho -1.0222 7.3840 5.4761
Ho 2.4911 2.8067 1.0380
Ho 2.2073 5.3313 5.4761
Ho 5.7207 0.7540 1.0380
Ho 5.8836 4.5773 1.0380
```

Computed properties:
Energy relative to the elements in eV per atom: 0.1793
SG: P-3, No. 147
Density in g/cm3: 7.60
Energy above the most stable polymorph in this dataset in meV/atom: 51

=====

[3]
A plane-wave DFT calculation with PBE-GGA was carried out for an optimized crystal structure of Y2TlOs.

```
4
Lattice="3.4534 0.0000 0.0000 0.0000 3.4534 0.0000 0.0000 0.0000 8.3655" Properties=species:S:1:pos:R:3 pbc="T T T"
Y 0.0000 0.0000 0.0000
Y 1.7267 1.7267 3.0395
Tl 1.7267 1.7267 6.2590
Os 0.0000 0.0000 4.6399
```

Computed properties:
Energy relative to the elements in eV per atom: 0.1616
SG: P4mm, No. 99
Density in g/cm3: 9.53
Energy above the most stable polymorph in this dataset in meV/atom: 468